TlS5Br: optimized geometry, PBE.

Unit cell a=10.6787 b=10.6787 c=6.9508 alpha=104.03 beta=104.03 gamma=131.32
Sites, in units of the cell vectors:
Tl 0.1333 0.8667 0.7500
Tl 0.8667 0.1333 0.2500
S 0.1383 0.8617 0.2500
S 0.1590 0.3005 0.8580
S 0.3005 0.1590 0.3580
S 0.3187 0.5865 0.0680
S 0.4135 0.6813 0.4320
S 0.5865 0.3187 0.5680
S 0.6813 0.4135 0.9320
S 0.6995 0.8410 0.6420
S 0.8410 0.6995 0.1420
S 0.8617 0.1383 0.7500
Br 0.0000 0.5000 0.5000
Br 0.5000 0.0000 0.0000

Summary:
- Raw formation energy: -0.086 eV per atom
- DFT total energy: -3.611 eV/atom

YHfAu: optimized geometry, PBE.

Unit cell a=8.6559 b=8.6559 c=3.6482 alpha=101.92 beta=101.92 gamma=32.01
Sites, in units of the cell vectors:
Y 0.1770 0.1770 0.1752
Y 0.8230 0.8230 0.8248
Hf 0.0000 0.0000 0.5000
Hf 0.5000 0.5000 0.0000
Au 0.3662 0.3662 0.3682
Au 0.6338 0.6338 0.6318

Summary:
- DFT total energy: -7.004 eV/atom
- E_form: -0.44 eV per atom
- DOS at the Fermi energy: 9.17 states/eV/cell
- Energy relative to the lowest polymorph listed for this composition: 0.037 eV/atom

La3InRu: optimized geometry, PBE.

Unit cell a=7.6466 b=7.6466 c=5.9736 alpha=90.00 beta=90.00 gamma=120.00
Sites, in units of the cell vectors:
La 0.1754 0.3602 0.2500
La 0.1848 0.8246 0.2500
La 0.3602 0.1848 0.7500
La 0.6398 0.8152 0.2500
La 0.8152 0.1754 0.7500
La 0.8246 0.6398 0.7500
In 0.3333 0.6667 0.7500
In 0.6667 0.3333 0.2500
Ru 0.0000 0.0000 0.0000
Ru 0.0000 0.0000 0.5000

Summary:
- DFT total energy: -5.777 eV/atom
- E_form: -0.42 eV per atom
- DOS at the Fermi energy: 3.60 states/eV/cell
- Energy relative to the lowest polymorph listed for this composition: 0.000 eV/atom

Nd2Sm3Sn4: optimized geometry, PBE.

Unit cell a=9.3915 b=9.3915 c=9.1053 alpha=90.00 beta=90.00 gamma=135.43
Sites, in units of the cell vectors:
Nd 0.1104 0.8896 0.9093
Nd 0.3896 0.6104 0.4093
Nd 0.6104 0.3896 0.5907
Nd 0.8896 0.1104 0.0907
Sm 0.0000 0.0000 0.5000
Sm 0.0443 0.4557 0.7500
Sm 0.4557 0.0443 0.2500
Sm 0.5000 0.5000 0.0000
Sm 0.5443 0.9557 0.7500
Sm 0.9557 0.5443 0.2500
Sn 0.1850 0.8150 0.5573
Sn 0.2214 0.2786 0.7500
Sn 0.2786 0.2214 0.2500
Sn 0.3150 0.6850 0.0573
Sn 0.6850 0.3150 0.9427
Sn 0.7214 0.7786 0.7500
Sn 0.7786 0.7214 0.2500
Sn 0.8150 0.1850 0.4427

Summary:
- DFT total energy: -5.010 eV/atom
- E_form: -0.60 eV per atom
- DOS at the Fermi energy: 11.31 states/eV/cell
- Energy relative to the lowest polymorph listed for this composition: 0.177 eV/atom